Entry 1:
ZrTcW2 | GGA-PBE | relaxed

It has space group R3m (No. 160, hexagonal axes), with a = 3.0336 Å, b = 3.0336 Å, c = 26.2283 Å, α = 90.00°, β = 90.00° and γ = 120.00°. The asymmetric unit holds Zr at (0.0000, 0.0000, 0.0000), Tc at (0.0000, 0.0000, 0.2455), W at (0.0000, 0.0000, 0.5016) and W at (0.0000, 0.0000, 0.7567).

As for the energy relative to the elements: 0.301 eV per atom. The distance to the lowest polymorph of the same formula is 384 meV/atom.

---

Entry 2:
BaHg3Se | GGA-PBE | relaxed

It has space group Pm-3m (No. 221), with a = 5.5748 Å, b = 5.5748 Å, c = 5.5748 Å, α = 90.00°, β = 90.00° and γ = 90.00°. The asymmetric unit holds Ba at (0.0000, 0.0000, 0.0000), Hg at (0.0000, 0.5000, 0.5000) and Se at (0.5000, 0.5000, 0.5000).

For the energy relative to the elements, uncorrected, the calculation gives -0.075 eV/atom. The distance to the lowest polymorph of the same formula is 0 meV/atom.

---

Entry 3:
K3YSi3O10 | GGA-PBE | relaxed

It has space group Pnma (No. 62), with a = 13.3167 Å, b = 13.0929 Å, c = 5.9796 Å, α = 90.00°, β = 90.00° and γ = 90.00°. The asymmetric unit holds K at (0.1367, 0.2500, 0.0578), K at (0.1405, 0.0178, 0.4273), Y at (0.0266, 0.7500, 0.4293), Si at (0.0847, 0.5922, 0.9174), Si at (0.2377, 0.7500, 0.0826), O at (0.0221, 0.6264, 0.1441), O at (0.0309, 0.6246, 0.6853), O at (0.1216, 0.0292, 0.9274), O at (0.1413, 0.2500, 0.5649), O at (0.1896, 0.7500, 0.3308) and O at (0.1974, 0.6487, 0.9361).

For the energy relative to the elements, uncorrected, the calculation gives -2.441 eV/atom.

---

Entry 4:
Pu2TiGa3 | GGA-PBE | relaxed

It has space group P6_3/mmc (No. 194), with a = 5.6787 Å, b = 5.6787 Å, c = 8.5428 Å, α = 90.00°, β = 90.00° and γ = 120.00°. The asymmetric unit holds Pu at (0.3333, 0.6667, 0.0699), Ti at (0.0000, 0.0000, 0.0000) and Ga at (0.1724, 0.3448, 0.7500).

As for the energy relative to the elements: -0.360 eV per atom. The distance to the lowest polymorph of the same formula is 9 meV/atom.

---

no.,E (eV per atom)
1,-10.904
2,-1.338
3,-6.888
4,-7.966